# Rb4Ag3PdBr12 (PBE-GGA, optimized geometry)
data_Rb4Ag3PdBr12
_chemical_formula_sum 'Rb8 Ag6 Pd2 Br24'
_cell_length_a 10.861
_cell_length_b 10.861
_cell_length_c 10.861
_cell_angle_alpha 90.00
_cell_angle_beta 90.00
_cell_angle_gamma 90.00
_space_group_name_H-M_alt 'I m -3 m'
_space_group_IT_number 229
_space_group_name_Hall '-I 4 2 3'
loop_
_atom_site_label
_atom_site_fract_x
_atom_site_fract_y
_atom_site_fract_z
Rb1 0.250 0.250 0.250
Ag1 0.000 0.000 0.500
Pd1 0.000 0.000 0.000
Br1 0.000 0.000 0.234
Br2 0.000 0.250 0.500
# Total magnetic moment: 0.0 μB per formula unit
# Formation energy (no corrections): -18.00 eV per formula unit
# Crystal system: cubic